DFT (PBE) results for an optimized crystal structure of Tl2RuSe.

extended XYZ file:
```
4
Lattice="3.640 0.000 0.000 0.000 3.635 0.006 0.000 2.777 6.470" Properties=species:S:1:pos:R:3 pbc="T T T"
Se 1.820 4.809 4.857
Tl 0.000 3.255 3.132
Tl 0.000 3.586 0.111
Ru 1.820 1.603 1.619
```

Results
Polymorph energy (0 for the lowest one): 411 meV per atom
Energy relative to the elements, uncorrected: 485 meV/atom
SG: P2/m, No. 10
DOS at the Fermi energy: 1.9 states/eV/cell